A plane-wave DFT calculation with PBE was carried out for a relaxed In5Fe crystal.

Structure (CIF):
```
data_In5Fe
_cell_length_a 5.7858
_cell_length_b 5.7858
_cell_length_c 5.7785
_cell_angle_alpha 90.00
_cell_angle_beta 90.00
_cell_angle_gamma 120.00
_space_group_name_H-M_alt 'P 6/m m m'
_space_group_IT_number 191
_space_group_name_Hall '-P 6 2'
loop_
_atom_site_label
_atom_site_type_symbol
_atom_site_fract_x
_atom_site_fract_y
_atom_site_fract_z
In1 In 0.0000 0.5000 0.0000
In2 In 0.3333 0.6667 0.5000
Fe1 Fe 0.0000 0.0000 0.5000
```

* M_tot: 3.23 Bohr magnetons per cell
* DOS at the Fermi energy: 7.264 states/eV/cell
* ΔH_f (0 K): 604.7 meV per atom